NaHfTi2Ge: optimized geometry, PBE.

Output
Raw total energy = -4.867 eV/atom
Formation energy = 1.469 eV/atom

a = 4.5858 Å, b = 4.5858 Å, c = 4.9885 Å
α = 90.00°, β = 90.00°, γ = 90.00°
Fractional coordinates of all 5 atoms:
Na  0.0000  0.0000  0.0000
Hf  0.0000  0.0000  0.5000
Ti  0.0000  0.5000  0.0000
Ti  0.5000  0.0000  0.0000
Ge  0.5000  0.5000  0.5000